No. 1
Density functional theory data (PBE-GGA) for a relaxed structure of Tm3TcAg3O8.

Values from the calculation:
Formation energy without anion corrections in eV per atom: -1.986
Magnetization in μB/cell: 3.00
SG: No. 12

abc: 6.682 6.682 6.924
angles: 118.98 118.98 60.02
Element x y z (fractional)
1 Tm 0.000 0.000 0.000
2 Tm 0.000 0.500 0.000
3 Tm 0.500 0.000 0.000
4 Tc 0.500 0.500 0.000
5 Ag 0.000 0.500 0.500
6 Ag 0.500 0.000 0.500
7 Ag 0.500 0.500 0.500
8 O 0.229 0.229 0.185
9 O 0.253 0.716 0.185
10 O 0.284 0.284 0.815
11 O 0.284 0.747 0.815
12 O 0.716 0.253 0.185
13 O 0.716 0.716 0.185
14 O 0.747 0.284 0.815
15 O 0.771 0.771 0.815

---

No. 2
Density functional theory data (PBE-GGA) for a relaxed structure of UTcAgO6.

Values from the calculation:
Formation energy without anion corrections in eV per atom: -1.852
DOS(E_F) in states/eV/cell: 6.00
Magnetization in μB/cell: 4.03
SG: No. 163

abc: 5.476 5.476 9.853
angles: 90.00 90.00 120.00
Element x y z (fractional)
1 U 0.333 0.667 0.250
2 U 0.667 0.333 0.750
3 Tc 0.333 0.667 0.750
4 Tc 0.667 0.333 0.250
5 Ag 0.000 0.000 0.000
6 Ag 0.000 0.000 0.500
7 O 0.015 0.374 0.642
8 O 0.015 0.641 0.858
9 O 0.359 0.374 0.858
10 O 0.359 0.985 0.642
11 O 0.374 0.015 0.142
12 O 0.374 0.359 0.358
13 O 0.626 0.641 0.642
14 O 0.626 0.985 0.858
15 O 0.641 0.015 0.358
16 O 0.641 0.626 0.142
17 O 0.985 0.359 0.142
18 O 0.985 0.626 0.358

---

Q: Look up the magnetization of the first one.
A: 3.00 μB/cell

---

Q: What is the formula in the first record?
A: Tm3TcAg3O8

---

Q: magnetization of number 2 (UTcAgO6)?
A: 4.03 μB/cell

---

Q: formation energy without anion corrections of number 2 (UTcAgO6)?
A: -1.852 eV per atom